No. 1
DFT (SCAN) results for a PBEsol-optimized structure of YMg2Cu.

Output
- N(E_F): 3.10 states/eV per cell
- SG: No. 10
- ΔH_f (0 K): 0.009 eV/atom

a b c (Å): 3.4413 4.7683 5.3591
angles (deg): 90.00 102.68 90.00
Element x y z (fractional)
Cu: 0.0000 0.5000 0.5000
Mg: 0.8526 0.0000 0.7216
Mg: 0.1474 0.0000 0.2784
Y: 0.5000 0.5000 0.0000



No. 2
DFT (SCAN) results for a PBEsol-optimized structure of AlW2Se.

Output
- Formation energy from raw total energies: 0.24 eV/atom
- N(E_F): 2.86 states/eV per cell
- SG: No. 160
- Energy above the most stable polymorph in this dataset: 0 meV/atom

a b c (Å): 2.9873 2.9873 8.5448
angles (deg): 79.93 79.93 60.00
Element x y z (fractional)
Se: 0.2554 0.2554 0.2337
W: 0.9960 0.9960 0.0121
W: 0.7502 0.7502 0.7493
Al: 0.4984 0.4984 0.5049



No. 3
DFT (SCAN) results for a PBEsol-optimized structure of Rb2AlIr.

Output
- N(E_F): 4.05 states/eV per cell
- SG: No. 122
- ΔH_f (0 K): 0.971 eV/atom

a b c (Å): 4.0427 4.0427 12.2169
angles (deg): 99.52 99.52 90.00
Element x y z (fractional)
Ir: 0.2500 0.7500 0.5000
Ir: 0.0000 0.0000 0.0000
Al: 0.7500 0.2500 0.5000
Al: 0.5000 0.5000 0.0000
Rb: 0.8777 0.3750 0.2500
Rb: 0.3723 0.8750 0.2500
Rb: 0.6250 0.6277 0.7500
Rb: 0.1250 0.1223 0.7500